No. 1
## LiAc2CdNi (GGA-PBE)

Data for LiAc2CdNi after structural relaxation.

a = 4.2212 Å, b = 8.4814 Å, c = 8.5145 Å
α = 111.16°, β = 90.00°, γ = 90.00°
Fractional positions:
Li1 0.2500 0.5662 0.6479
Li2 0.7500 0.4338 0.3521
Ac1 0.7500 0.9057 0.6667
Ac2 0.7500 0.7105 0.0179
Ac3 0.2500 0.0943 0.3333
Ac4 0.2500 0.2895 0.9821
Cd1 0.2500 0.6653 0.3377
Cd2 0.7500 0.3347 0.6623
Ni1 0.2500 0.9213 0.9313
Ni2 0.7500 0.0787 0.0687

Calculated values
Fermi-level density of states	0.8631	states/eV per atom
space group	P2_1/m
calculated formation energy	-0.223	eV per atom
raw total energy	-3.589	eV per atom

***

No. 2
## LiAcCdO3 (GGA-PBE)

Data for LiAcCdO3 after structural relaxation.

a = 3.5576 Å, b = 7.1772 Å, c = 7.1479 Å
α = 104.61°, β = 90.00°, γ = 90.00°
Fractional positions:
Li1 0.2500 0.0942 0.6043
Li2 0.7500 0.9058 0.3957
Ac1 0.2500 0.1892 0.2272
Ac2 0.7500 0.8108 0.7728
Cd1 0.2500 0.6553 0.1708
Cd2 0.7500 0.3447 0.8292
O1 0.7500 0.9175 0.1331
O2 0.2500 0.0825 0.8669
O3 0.2500 0.8178 0.4844
O4 0.7500 0.1822 0.5156
O5 0.7500 0.4229 0.1609
O6 0.2500 0.5771 0.8391

Calculated values
E_form (uncorrected)	-2.12	eV per atom
Fermi-level density of states	0.0000	states/eV per atom
space group	P2_1/m
raw total energy	-5.751	eV per atom

***

No. 3
## Li2AcCd2Pb2 (GGA-PBE)

Data for Li2AcCd2Pb2 after structural relaxation.

a = 4.8743 Å, b = 4.8743 Å, c = 9.2719 Å
α = 74.76°, β = 74.76°, γ = 60.00°
Fractional positions:
Li1 0.1446 0.1446 0.5663
Li2 0.8554 0.8554 0.4337
Ac1 0.0000 0.0000 0.0000
Cd1 0.5551 0.5551 0.3346
Cd2 0.4449 0.4449 0.6654
Pb1 0.7408 0.7408 0.7776
Pb2 0.2592 0.2592 0.2224

Calculated values
Fermi-level density of states	0.2957	states/eV per atom
space group	R-3m
calculated formation energy	-0.357	eV per atom
raw total energy	-2.811	eV per atom

***

No. 4
## Li3Ac2CdPb4 (GGA-PBE)

Data for Li3Ac2CdPb4 after structural relaxation.

a = 4.7850 Å, b = 4.7850 Å, c = 11.7644 Å
α = 90.00°, β = 90.00°, γ = 90.00°
Fractional positions:
Li1 0.0000 0.0000 0.5000
Li2 0.5000 0.0000 0.8735
Li3 0.0000 0.5000 0.1265
Ac1 0.5000 0.0000 0.2488
Ac2 0.0000 0.5000 0.7512
Cd1 0.5000 0.5000 0.5000
Pb1 0.5000 0.5000 0.0000
Pb2 0.0000 0.0000 0.0000
Pb3 0.5000 0.0000 0.6471
Pb4 0.0000 0.5000 0.3529

Calculated values
Fermi-level density of states	0.2960	states/eV per atom
space group	P-4m2
calculated formation energy	-0.437	eV per atom
raw total energy	-3.408	eV per atom

***

No. 5
## Li4AcCdPb2 (GGA-PBE)

Data for Li4AcCdPb2 after structural relaxation.

a = 4.8753 Å, b = 4.8753 Å, c = 9.6351 Å
α = 75.34°, β = 75.34°, γ = 60.00°
Fractional positions:
Li1 0.4055 0.4055 0.7836
Li2 0.8674 0.8674 0.3979
Li3 0.1326 0.1326 0.6021
Li4 0.5945 0.5945 0.2164
Ac1 0.0000 0.0000 0.0000
Cd1 0.5000 0.5000 0.5000
Pb1 0.7455 0.7455 0.7635
Pb2 0.2545 0.2545 0.2365

Calculated values
Fermi-level density of states	0.2843	states/eV per atom
space group	R-3m
calculated formation energy	-0.331	eV per atom
raw total energy	-2.843	eV per atom

***

No. 6
## Li4Ac2CdPb3 (GGA-PBE)

Data for Li4Ac2CdPb3 after structural relaxation.

a = 4.8166 Å, b = 4.8166 Å, c = 11.0605 Å
α = 90.00°, β = 90.00°, γ = 90.00°
Fractional positions:
Li1 0.5000 0.5000 0.0000
Li2 0.0000 0.0000 0.0000
Li3 0.5000 0.0000 0.6237
Li4 0.0000 0.5000 0.3763
Ac1 0.5000 0.0000 0.2399
Ac2 0.0000 0.5000 0.7601
Cd1 0.5000 0.5000 0.5000
Pb1 0.0000 0.0000 0.5000
Pb2 0.5000 0.0000 0.8671
Pb3 0.0000 0.5000 0.1329

Calculated values
Fermi-level density of states	0.6253	states/eV per atom
space group	P-4m2
calculated formation energy	-0.405	eV per atom
raw total energy	-3.196	eV per atom

***

No. 7
## LiAcCdPb2 (GGA-PBE)

Data for LiAcCdPb2 after structural relaxation.

a = 4.7015 Å, b = 4.7015 Å, c = 7.3781 Å
α = 108.58°, β = 108.58°, γ = 90.00°
Fractional positions:
Li1 0.7500 0.2500 0.5000
Ac1 0.0000 0.0000 0.0000
Cd1 0.2500 0.7500 0.5000
Pb1 0.6162 0.6162 0.2323
Pb2 0.3838 0.3838 0.7677

Calculated values
Fermi-level density of states	0.5602	states/eV per atom
space group	I-4m2
calculated formation energy	-0.337	eV per atom
raw total energy	-3.208	eV per atom

***

No. 8
## Li2AcCdPd4 (GGA-PBE)

Data for Li2AcCdPd4 after structural relaxation.

a = 4.4299 Å, b = 4.4299 Å, c = 9.2022 Å
α = 76.07°, β = 76.07°, γ = 60.00°
Fractional positions:
Li1 0.7701 0.7701 0.6898
Li2 0.2299 0.2299 0.3102
Ac1 0.0000 0.0000 0.0000
Cd1 0.5000 0.5000 0.5000
Pd1 0.3977 0.3977 0.8069
Pd2 0.8792 0.8792 0.3623
Pd3 0.1208 0.1208 0.6377
Pd4 0.6023 0.6023 0.1931

Calculated values
Fermi-level density of states	0.3724	states/eV per atom
space group	R-3m
calculated formation energy	-0.532	eV per atom
raw total energy	-4.235	eV per atom

***

No. 9
## LiAcCdPd2 (GGA-PBE)

Data for LiAcCdPd2 after structural relaxation.

a = 4.1420 Å, b = 4.1420 Å, c = 7.0829 Å
α = 107.00°, β = 107.00°, γ = 90.00°
Fractional positions:
Li1 0.7500 0.2500 0.5000
Ac1 0.0000 0.0000 0.0000
Cd1 0.2500 0.7500 0.5000
Pd1 0.6058 0.6058 0.2116
Pd2 0.3942 0.3942 0.7884

Calculated values
Fermi-level density of states	0.4742	states/eV per atom
space group	I-4m2
calculated formation energy	-0.623	eV per atom
raw total energy	-4.087	eV per atom

***

No. 10
## LiAcCdPd3 (GGA-PBE)

Data for LiAcCdPd3 after structural relaxation.

a = 6.7509 Å, b = 5.9491 Å, c = 6.9758 Å
α = 115.24°, β = 90.00°, γ = 90.00°
Fractional positions:
Li1 0.2500 0.9252 0.8504
Li2 0.7500 0.0748 0.1496
Ac1 0.7500 0.3256 0.6512
Ac2 0.2500 0.6744 0.3488
Cd1 0.2500 0.3610 0.7219
Cd2 0.7500 0.6390 0.2781
Pd1 0.2500 0.1431 0.2861
Pd2 0.0000 0.2581 0.0000
Pd3 0.5000 0.7419 0.0000
Pd4 0.5000 0.2581 0.0000
Pd5 0.0000 0.7419 0.0000
Pd6 0.7500 0.8569 0.7139

Calculated values
Fermi-level density of states	0.3271	states/eV per atom
space group	Cmcm
calculated formation energy	-0.464	eV per atom
raw total energy	-4.217	eV per atom

***

No. 11
## LiAcCd2Pd4 (GGA-PBE)

Data for LiAcCd2Pd4 after structural relaxation.

a = 4.6323 Å, b = 4.6323 Å, c = 8.9633 Å
α = 75.02°, β = 75.02°, γ = 60.00°
Fractional positions:
Li1 0.5000 0.5000 0.5000
Ac1 0.0000 0.0000 0.0000
Cd1 0.7651 0.7651 0.7048
Cd2 0.2349 0.2349 0.2952
Pd1 0.4015 0.4015 0.7954
Pd2 0.8746 0.8746 0.3762
Pd3 0.1254 0.1254 0.6238
Pd4 0.5985 0.5985 0.2046

Calculated values
Fermi-level density of states	0.4271	states/eV per atom
space group	R-3m
calculated formation energy	-0.542	eV per atom
raw total energy	-4.120	eV per atom

***

No. 12
## Li2Ac3CdPd9 (GGA-PBE)

Data for Li2Ac3CdPd9 after structural relaxation.

a = 6.9917 Å, b = 6.9917 Å, c = 7.3288 Å
α = 90.00°, β = 90.00°, γ = 120.00°
Fractional positions:
Li1 0.3333 0.6667 0.1161
Li2 0.6667 0.3333 0.8839
Ac1 0.3333 0.6667 0.6663
Ac2 0.0000 0.0000 0.0000
Ac3 0.6667 0.3333 0.3337
Cd1 0.0000 0.0000 0.5000
Pd1 0.8106 0.1894 0.6780
Pd2 0.8106 0.6211 0.6780
Pd3 0.3789 0.1894 0.6780
Pd4 0.6211 0.8106 0.3220
Pd5 0.1894 0.3789 0.3220
Pd6 0.1894 0.8106 0.3220
Pd7 0.5000 0.0000 0.0000
Pd8 0.0000 0.5000 0.0000
Pd9 0.5000 0.5000 0.0000

Calculated values
Fermi-level density of states	0.3239	states/eV per atom
space group	P-3m1
calculated formation energy	-0.465	eV per atom
raw total energy	-4.719	eV per atom

***

No. 13
## LiAcPm2Cd4 (GGA-PBE)

Data for LiAcPm2Cd4 after structural relaxation.

a = 5.3563 Å, b = 5.3563 Å, c = 9.5504 Å
α = 73.71°, β = 73.71°, γ = 60.00°
Fractional positions:
Li1 0.5000 0.5000 0.5000
Ac1 0.0000 0.0000 0.0000
Pm1 0.7552 0.7552 0.7344
Pm2 0.2448 0.2448 0.2656
Cd1 0.3879 0.3879 0.8363
Cd2 0.8718 0.8718 0.3847
Cd3 0.1282 0.1282 0.6153
Cd4 0.6121 0.6121 0.1637

Calculated values
Fermi-level density of states	0.8019	states/eV per atom
space group	R-3m
calculated formation energy	-0.249	eV per atom
raw total energy	-2.647	eV per atom

***

No. 14
## LiAcPmCd (GGA-PBE)

Data for LiAcPmCd after structural relaxation.

a = 5.5783 Å, b = 5.5783 Å, c = 5.5783 Å
α = 60.00°, β = 60.00°, γ = 60.00°
Fractional positions:
Ac1 0.0000 0.0000 0.0000
Cd1 0.7500 0.7500 0.7500
Li1 0.2500 0.2500 0.2500
Pm1 0.5000 0.5000 0.5000

Calculated values
Fermi-level density of states	1.5730	states/eV per atom
space group	F-43m
calculated formation energy	-0.099	eV per atom
raw total energy	-3.021	eV per atom

***

No. 15
## LiAcPrCd (GGA-PBE)

Data for LiAcPrCd after structural relaxation.

a = 5.6132 Å, b = 5.6132 Å, c = 5.6132 Å
α = 60.00°, β = 60.00°, γ = 60.00°
Fractional positions:
Pr1 0.0000 0.0000 0.0000
Ac1 0.5000 0.5000 0.5000
Li1 0.2500 0.2500 0.2500
Cd1 0.7500 0.7500 0.7500

Calculated values
Fermi-level density of states	1.5181	states/eV per atom
space group	F-43m
calculated formation energy	-0.108	eV per atom
raw total energy	-3.037	eV per atom

***

No. 16
## Li2AcPrCd4 (GGA-PBE)

Data for Li2AcPrCd4 after structural relaxation.

a = 5.2245 Å, b = 5.2245 Å, c = 9.4395 Å
α = 73.93°, β = 73.93°, γ = 60.00°
Fractional positions:
Li1 0.7543 0.7543 0.7370
Li2 0.2457 0.2457 0.2630
Ac1 0.0000 0.0000 0.0000
Pr1 0.5000 0.5000 0.5000
Cd1 0.3833 0.3833 0.8502
Cd2 0.8747 0.8747 0.3758
Cd3 0.1253 0.1253 0.6242
Cd4 0.6167 0.6167 0.1498

Calculated values
Fermi-level density of states	0.7499	states/eV per atom
space group	R-3m
calculated formation energy	-0.248	eV per atom
raw total energy	-2.295	eV per atom

***

No. 17
## Li2Ac2CdPt5 (GGA-PBE)

Data for Li2Ac2CdPt5 after structural relaxation.

a = 3.9851 Å, b = 9.7643 Å, c = 9.7643 Å
α = 90.00°, β = 90.00°, γ = 90.00°
Fractional positions:
Li1 0.0000 0.1154 0.6154
Li2 0.0000 0.8846 0.3846
Li3 0.0000 0.6154 0.8846
Li4 0.0000 0.3846 0.1154
Ac1 0.0000 0.6821 0.1821
Ac2 0.0000 0.3179 0.8179
Ac3 0.0000 0.1821 0.3179
Ac4 0.0000 0.8179 0.6821
Cd1 0.0000 0.0000 0.0000
Cd2 0.0000 0.5000 0.5000
Pt1 0.5000 0.2151 0.0635
Pt2 0.5000 0.7849 0.9365
Pt3 0.5000 0.0635 0.7849
Pt4 0.5000 0.7151 0.4365
Pt5 0.5000 0.9365 0.2151
Pt6 0.5000 0.2849 0.5635
Pt7 0.5000 0.5635 0.7151
Pt8 0.5000 0.4365 0.2849
Pt9 0.5000 0.5000 0.0000
Pt10 0.5000 0.0000 0.5000

Calculated values
Fermi-level density of states	0.4152	states/eV per atom
space group	P4/mbm
calculated formation energy	-0.771	eV per atom
raw total energy	-5.087	eV per atom

***

No. 18
## LiAc2CdPt6 (GGA-PBE)

Data for LiAc2CdPt6 after structural relaxation.

a = 8.9056 Å, b = 5.4716 Å, c = 6.8603 Å
α = 66.50°, β = 50.55°, γ = 90.00°
Fractional positions:
Li1 0.0000 0.0000 0.0000
Ac1 0.1932 0.7436 0.5127
Ac2 0.8068 0.2564 0.4873
Cd1 0.5000 0.5000 0.0000
Pt1 0.2355 0.7498 0.0069
Pt2 0.7646 0.7567 0.9930
Pt3 0.4406 0.2504 0.4992
Pt4 0.7645 0.2502 0.9931
Pt5 0.2354 0.2433 0.0070
Pt6 0.5594 0.7496 0.5008

Calculated values
Fermi-level density of states	0.5444	states/eV per atom
space group	C2/m
calculated formation energy	-0.715	eV per atom
raw total energy	-5.444	eV per atom

***

No. 19
## Li3Ac2CdPt4 (GGA-PBE)

Data for Li3Ac2CdPt4 after structural relaxation.

a = 4.2489 Å, b = 4.2489 Å, c = 11.2716 Å
α = 90.00°, β = 90.00°, γ = 90.00°
Fractional positions:
Li1 0.0000 0.0000 0.5000
Li2 0.5000 0.0000 0.8877
Li3 0.0000 0.5000 0.1123
Ac1 0.5000 0.0000 0.2266
Ac2 0.0000 0.5000 0.7734
Cd1 0.5000 0.5000 0.5000
Pt1 0.5000 0.5000 0.0000
Pt2 0.0000 0.0000 0.0000
Pt3 0.5000 0.0000 0.6638
Pt4 0.0000 0.5000 0.3362

Calculated values
Fermi-level density of states	0.2559	states/eV per atom
space group	P-4m2
calculated formation energy	-0.763	eV per atom
raw total energy	-4.667	eV per atom

***

No. 20
## LiAcCd2Pt2 (GGA-PBE)

Data for LiAcCd2Pt2 after structural relaxation.

a = 4.4244 Å, b = 4.4244 Å, c = 8.1872 Å
α = 105.68°, β = 105.68°, γ = 90.00°
Fractional positions:
Li1 0.0000 0.0000 0.0000
Ac1 0.5000 0.5000 0.0000
Cd1 0.2500 0.7500 0.5000
Cd2 0.7500 0.2500 0.5000
Pt1 0.8578 0.8578 0.7157
Pt2 0.1422 0.1422 0.2843

Calculated values
Fermi-level density of states	0.1895	states/eV per atom
space group	I4/mmm
calculated formation energy	-0.164	eV per atom
raw total energy	-3.487	eV per atom

***

No. 21
## LiAc2CdPt (GGA-PBE)

Data for LiAc2CdPt after structural relaxation.

a = 4.7353 Å, b = 8.0213 Å, c = 8.1957 Å
α = 109.37°, β = 90.00°, γ = 90.00°
Fractional positions:
Li1 0.2500 0.5643 0.6697
Li2 0.7500 0.4357 0.3303
Ac1 0.7500 0.8845 0.6629
Ac2 0.7500 0.7198 0.0503
Ac3 0.2500 0.1155 0.3371
Ac4 0.2500 0.2802 0.9497
Cd1 0.2500 0.6482 0.3448
Cd2 0.7500 0.3518 0.6552
Pt1 0.2500 0.8818 0.9104
Pt2 0.7500 0.1182 0.0896

Calculated values
Fermi-level density of states	0.9364	states/eV per atom
space group	P2_1/m
calculated formation energy	-0.559	eV per atom
raw total energy	-3.977	eV per atom

***

No. 22
## LiAcCdRh (GGA-PBE)

Data for LiAcCdRh after structural relaxation.

a = 5.0272 Å, b = 5.0272 Å, c = 5.0272 Å
α = 60.00°, β = 60.00°, γ = 60.00°
Fractional positions:
Ac1 0.2500 0.2500 0.2500
Li1 0.0000 0.0000 0.0000
Rh1 0.5000 0.5000 0.5000
Cd1 0.7500 0.7500 0.7500

Calculated values
Fermi-level density of states	0.4263	states/eV per atom
space group	F-43m
calculated formation energy	-0.291	eV per atom
raw total energy	-3.863	eV per atom

***

No. 23
## LiAcScCd (GGA-PBE)

Data for LiAcScCd after structural relaxation.

a = 5.4048 Å, b = 5.4048 Å, c = 5.4048 Å
α = 60.00°, β = 60.00°, γ = 60.00°
Fractional positions:
Sc1 0.0000 0.0000 0.0000
Ac1 0.5000 0.5000 0.5000
Li1 0.2500 0.2500 0.2500
Cd1 0.7500 0.7500 0.7500

Calculated values
Fermi-level density of states	1.4178	states/eV per atom
space group	F-43m
calculated formation energy	-0.022	eV per atom
raw total energy	-3.339	eV per atom

***

No. 24
## LiAc2ScCd6 (GGA-PBE)

Data for LiAc2ScCd6 after structural relaxation.

a = 7.2439 Å, b = 7.3994 Å, c = 7.2266 Å
α = 60.78°, β = 59.67°, γ = 90.14°
Fractional positions:
Li1 0.0000 0.0000 0.0000
Ac1 0.1933 0.5783 0.6141
Ac2 0.8067 0.4217 0.3859
Sc1 0.5000 0.5000 0.0000
Cd1 0.3517 0.8705 0.9747
Cd2 0.8450 0.8732 0.8019
Cd3 0.3276 0.1263 0.5193
Cd4 0.6483 0.1295 0.0253
Cd5 0.1550 0.1268 0.1981
Cd6 0.6724 0.8737 0.4807

Calculated values
Fermi-level density of states	0.8167	states/eV per atom
space group	P-1
calculated formation energy	-0.154	eV per atom
raw total energy	-2.350	eV per atom